Density functional theory data (PBE) for a relaxed Sm2PbO5 crystal.

Cell: 6.433 9.840 3.399 Å, 90.00 90.00 90.00°
Space group Pbam (No. 55)
Inequivalent atoms, fractional coordinates:
1 Sm 0.033 0.168 0.000 (multiplicity 4)
2 Pb 0.000 0.500 0.500 (multiplicity 2)
3 O 0.000 0.000 0.500 (multiplicity 2)
4 O 0.168 0.405 0.000 (multiplicity 4)
5 O 0.171 0.698 0.500 (multiplicity 4)

Properties
DFT total energy in eV per atom: -7.217
Crystal system: orthorhombic